(1)
# NaLi3Ce2Se6 PBE optimized geometry
# uncorrected formation energy: -16.90 eV/f.u.
data_NaLi3Ce2Se6
_space_group_name_H-M_alt 'C 1 2/m 1'
_space_group_IT_number 12
_space_group_name_Hall '-C 2y'
_cell_length_a 17.327
_cell_length_b 4.182
_cell_length_c 8.097
_cell_angle_alpha 90.00
_cell_angle_beta 101.50
_cell_angle_gamma 90.00
loop_
_atom_site_label
_atom_site_fract_x
_atom_site_fract_y
_atom_site_fract_z
_atom_site_occupancy
Na1 0.000 0.000 0.000 1
Li1 0.000 0.000 0.500 1
Li2 0.161 0.500 0.833 1
Ce1 0.158 0.500 0.321 1
Se1 0.002 0.500 0.734 1
Se2 0.169 0.000 0.577 1
Se3 0.175 0.000 0.089 1

(2)
# Na3Ac2Pb2 PBE optimized geometry
# energy of formation: -0.235 eV per atom
data_Na3Ac2Pb2
_space_group_name_H-M_alt 'C 1 2/m 1'
_space_group_IT_number 12
_space_group_name_Hall '-C 2y'
_cell_length_a 10.999
_cell_length_b 5.395
_cell_length_c 8.813
_cell_angle_alpha 90.00
_cell_angle_beta 107.92
_cell_angle_gamma 90.00
loop_
_atom_site_label
_atom_site_fract_x
_atom_site_fract_y
_atom_site_fract_z
_atom_site_occupancy
Na1 0.000 0.000 0.000 1
Na2 0.134 0.000 0.433 1
Ac1 0.126 0.500 0.794 1
Pb1 0.185 0.500 0.202 1

(3)
# Tb5Pr4Dy4 PBE optimized geometry
# energy of formation: 0.019 eV per atom
data_Tb5Pr4Dy4
_space_group_name_H-M_alt 'I 4/m'
_space_group_IT_number 87
_space_group_name_Hall '-I 4'
_cell_length_a 13.007
_cell_length_b 13.007
_cell_length_c 5.084
_cell_angle_alpha 90.00
_cell_angle_beta 90.00
_cell_angle_gamma 90.00
loop_
_atom_site_label
_atom_site_fract_x
_atom_site_fract_y
_atom_site_fract_z
_atom_site_occupancy
Tb1 0.000 0.000 0.000 1
Tb2 0.040 0.189 0.500 1
Pr1 0.079 0.382 0.000 1
Dy1 0.153 0.771 0.000 1

(4)
# LiGeTeAs2 PBE optimized geometry
# uncorrected formation energy: 3.01 eV/f.u.
data_LiGeTeAs2
_space_group_name_H-M_alt 'P 4/m m m'
_space_group_IT_number 123
_space_group_name_Hall '-P 4 2'
_cell_length_a 5.450
_cell_length_b 5.450
_cell_length_c 4.758
_cell_angle_alpha 90.00
_cell_angle_beta 90.00
_cell_angle_gamma 90.00
loop_
_atom_site_label
_atom_site_fract_x
_atom_site_fract_y
_atom_site_fract_z
_atom_site_occupancy
Li1 0.000 0.000 0.000 1
Ge1 0.500 0.500 0.000 1
Te1 0.000 0.000 0.500 1
As1 0.000 0.500 0.500 1

(5)
# TiSnOs2 PBE optimized geometry
# energy of formation: -0.056 eV per atom
data_TiSnOs2
_space_group_name_H-M_alt 'P 1 m 1'
_space_group_IT_number 6
_space_group_name_Hall 'P -2y'
_cell_length_a 5.640
_cell_length_b 4.037
_cell_length_c 6.176
_cell_angle_alpha 90.00
_cell_angle_beta 112.24
_cell_angle_gamma 90.00
loop_
_atom_site_label
_atom_site_fract_x
_atom_site_fract_y
_atom_site_fract_z
_atom_site_occupancy
Ti1 0.000 0.000 0.000 1
Ti2 0.323 0.000 0.549 1
Sn1 0.384 0.500 0.226 1
Sn2 0.814 0.000 0.507 1
Os1 0.170 0.500 0.734 1
Os2 0.525 0.000 0.990 1
Os3 0.673 0.500 0.769 1
Os4 0.904 0.500 0.242 1

(6)
# Ti2CoIN PBE optimized geometry
# uncorrected formation energy: 10.32 eV/f.u.
data_Ti2CoIN
_space_group_name_H-M_alt 'P 4/m m m'
_space_group_IT_number 123
_space_group_name_Hall '-P 4 2'
_cell_length_a 4.987
_cell_length_b 4.987
_cell_length_c 4.389
_cell_angle_alpha 90.00
_cell_angle_beta 90.00
_cell_angle_gamma 90.00
loop_
_atom_site_label
_atom_site_fract_x
_atom_site_fract_y
_atom_site_fract_z
_atom_site_occupancy
Ti1 0.000 0.500 0.000 1
Co1 0.000 0.000 0.500 1
I1 0.000 0.000 0.000 1
N1 0.500 0.500 0.500 1

(7)
# Pm4MgSe6 PBE optimized geometry
# uncorrected formation energy: -18.29 eV/f.u.
data_Pm4MgSe6
_space_group_name_H-M_alt 'R -3 c'
_space_group_IT_number 167
_space_group_name_Hall '-R 3 2"c'
_cell_length_a 11.6723
_cell_length_b 11.6723
_cell_length_c 13.9100
_cell_angle_alpha 90.00
_cell_angle_beta 90.00
_cell_angle_gamma 120.00
loop_
_atom_site_label
_atom_site_fract_x
_atom_site_fract_y
_atom_site_fract_z
_atom_site_occupancy
Pm1 0.0000 0.0000 0.2500 1
Pm2 0.0000 0.3887 0.2500 1
Mg1 0.0000 0.0000 0.0000 1
Se1 0.0313 0.2023 0.3887 1

(8)
# SmDyY2 PBE optimized geometry
# energy relative to the lowest polymorph listed for this composition: 12.3 meV/atom
# energy of formation: 0.023 eV per atom
data_SmDyY2
_space_group_name_H-M_alt 'P 4/m m m'
_space_group_IT_number 123
_space_group_name_Hall '-P 4 2'
_cell_length_a 5.060
_cell_length_b 5.060
_cell_length_c 5.060
_cell_angle_alpha 90.00
_cell_angle_beta 90.00
_cell_angle_gamma 90.00
loop_
_atom_site_label
_atom_site_fract_x
_atom_site_fract_y
_atom_site_fract_z
_atom_site_occupancy
Sm1 0.000 0.000 0.000 1
Dy1 0.500 0.500 0.000 1
Y1 0.000 0.500 0.500 1

For reference, magnetization by record: 0.29; 0.00; 0.00; 0.00; 0.00; 0.00; 0.00; 0.00 μB per formula unit.